First-principles (PBE) data for an optimized crystal structure of Re2Sb, as listed in the Alexandria database.

Output
Its size of the total moment is 0.0 Bohr magnetons per cell. The calculation puts the uncorrected formation energy at 0.538 eV per atom. The calculation puts the energy above the most stable polymorph in this dataset at 336 meV/atom.

a = 4.2539 Å, b = 4.2539 Å, c = 7.0544 Å
α = 90.00°, β = 90.00°, γ = 120.00°
Positions (direct):
Re (0.6667, 0.3333, 0.0558)
Sb (0.0000, 0.0000, 0.7500)
Re (0.6667, 0.3333, 0.4442)
Sb (0.0000, 0.0000, 0.2500)
Re (0.3333, 0.6667, 0.5558)
Re (0.3333, 0.6667, 0.9442)

First-principles (PBE) data for an optimized crystal structure of Nd5Tm12In2, as listed in the Alexandria database.

Output
The calculation puts the formation energy from the elements at -0.012 eV per atom. Its size of the total moment is 0.0 Bohr magnetons per cell.

a = 9.2690 Å, b = 12.0343 Å, c = 8.3176 Å
α = 131.92°, β = 90.00°, γ = 112.65°
Positions (direct):
Nd (0.6969, 0.3939, 0.3818)
Tm (0.0391, 0.7120, 0.9479)
Tm (0.5533, 0.1065, 0.7801)
Tm (0.1804, 0.7464, 0.4159)
Nd (0.3031, 0.6061, 0.6182)
Tm (0.6729, 0.7120, 0.9479)
Nd (0.0000, 0.0000, 0.5000)
Tm (0.5660, 0.7464, 0.4159)
Tm (0.9609, 0.2880, 0.0521)
Tm (0.0774, 0.1547, 0.2754)
Nd (0.7660, 0.5320, 0.1073)
Tm (0.9226, 0.8453, 0.7246)
In (0.3222, 0.0000, 0.0000)
Tm (0.4340, 0.2536, 0.5841)
Tm (0.3271, 0.2880, 0.0521)
Nd (0.2340, 0.4680, 0.8927)
Tm (0.4467, 0.8935, 0.2199)
In (0.6778, 0.0000, 0.0000)
Tm (0.8196, 0.2536, 0.5841)

First-principles (PBE) data for an optimized crystal structure of Sm3Dy2Ho8, as listed in the Alexandria database.

Output
The calculation puts the formation energy from the elements at 0.247 eV per atom. Its size of the total moment is 0.0 Bohr magnetons per cell. The calculation puts the energy above the most stable polymorph in this dataset at 228 meV/atom.

a = 5.6076 Å, b = 7.6587 Å, c = 10.7447 Å
α = 110.88°, β = 90.04°, γ = 90.00°
Positions (direct):
Ho (0.4998, 0.6008, 0.7822)
Ho (0.9995, 0.1342, 0.2684)
Sm (0.0000, 0.7099, 0.0000)
Sm (0.0000, 0.2901, 0.0000)
Ho (0.0009, 0.6700, 0.3400)
Ho (0.9991, 0.3300, 0.6600)
Ho (0.4998, 0.1814, 0.7822)
Ho (0.0005, 0.8658, 0.7316)
Sm (0.5000, 0.0000, 0.0000)
Ho (0.5002, 0.8186, 0.2178)
Ho (0.5002, 0.3992, 0.2178)
Dy (0.4988, 0.2413, 0.4826)
Dy (0.5012, 0.7587, 0.5174)

First-principles (PBE) data for an optimized crystal structure of LiLa2Ge3Rh4, as listed in the Alexandria database.

Output
The calculation puts the formation energy from the elements at -0.849 eV per atom. Its size of the total moment is 0.0 Bohr magnetons per cell.

a = 4.1792 Å, b = 4.1792 Å, c = 10.6509 Å
α = 90.00°, β = 90.00°, γ = 90.00°
Positions (direct):
La (0.0000, 0.5000, 0.7442)
Ge (0.0000, 0.5000, 0.1260)
Li (0.5000, 0.5000, 0.5000)
La (0.5000, 0.0000, 0.2558)
Rh (0.5000, 0.0000, 0.6375)
Rh (0.5000, 0.5000, 0.0000)
Rh (0.0000, 0.0000, 0.0000)
Ge (0.0000, 0.0000, 0.5000)
Ge (0.5000, 0.0000, 0.8740)
Rh (0.0000, 0.5000, 0.3625)

First-principles (PBE) data for an optimized crystal structure of ZnOs2W, as listed in the Alexandria database.

Output
The calculation puts the formation energy from the elements at 0.432 eV per atom. Its size of the total moment is 0.0 Bohr magnetons per cell.

a = 2.7040 Å, b = 2.7040 Å, c = 9.1474 Å
α = 90.00°, β = 90.00°, γ = 115.79°
Positions (direct):
Os (0.0000, 0.0000, 0.9981)
W (0.0000, 0.0000, 0.4977)
Os (0.5000, 0.5000, 0.2501)
Zn (0.5000, 0.5000, 0.7542)

First-principles (PBE) data for an optimized crystal structure of Ta2ZnAs, as listed in the Alexandria database.

Output
The calculation puts the formation energy from the elements at 0.013 eV per atom. Its size of the total moment is 0.0 Bohr magnetons per cell. The calculation puts the energy above the most stable polymorph in this dataset at 68 meV/atom.

a = 2.9100 Å, b = 2.9100 Å, c = 8.9685 Å
α = 90.00°, β = 90.00°, γ = 104.68°
Positions (direct):
Zn (0.0000, 0.0000, 0.4763)
Ta (0.5000, 0.5000, 0.2476)
As (0.5000, 0.5000, 0.7778)
Ta (0.0000, 0.0000, 0.9983)